VASP calculation (PBE) on a relaxed KCoAu3C6N6 crystal.

Cell lengths 6.656, 6.656, 7.623 Å; angles 90.00, 90.00, 120.00 degrees
Sites, in units of the cell vectors:
K (0.000, 0.000, 0.000)
Co (0.667, 0.333, 0.000)
Au (0.171, 0.343, 0.500)
Au (0.171, 0.829, 0.500)
Au (0.657, 0.829, 0.500)
C (0.009, 0.342, 0.281)
C (0.009, 0.667, 0.719)
C (0.333, 0.342, 0.719)
C (0.333, 0.991, 0.281)
C (0.658, 0.667, 0.281)
C (0.658, 0.991, 0.719)
N (0.434, 0.097, 0.157)
N (0.434, 0.338, 0.843)
N (0.662, 0.097, 0.843)
N (0.662, 0.566, 0.157)
N (0.903, 0.338, 0.157)
N (0.903, 0.566, 0.843)

Properties
- size of the total moment (μB/atom) = 0.0598

VASP calculation (PBE) on a relaxed CoMo4AuC2 crystal.

Cell lengths 3.056, 3.056, 13.191 Å; angles 90.00, 90.00, 120.00 degrees
Sites, in units of the cell vectors:
Co (0.000, 0.000, 0.000)
Mo (0.000, 0.000, 0.321)
Mo (0.000, 0.000, 0.679)
Mo (0.667, 0.333, 0.147)
Mo (0.667, 0.333, 0.853)
Au (0.667, 0.333, 0.500)
C (0.333, 0.667, 0.237)
C (0.333, 0.667, 0.763)

Properties
- size of the total moment (μB/atom) = 0.0754

VASP calculation (PBE) on a relaxed Nb4CoAuC2 crystal.

Cell lengths 3.132, 3.132, 13.511 Å; angles 90.00, 90.00, 120.00 degrees
Sites, in units of the cell vectors:
Nb (0.000, 0.000, 0.145)
Nb (0.000, 0.000, 0.855)
Nb (0.667, 0.333, 0.328)
Nb (0.667, 0.333, 0.672)
Co (0.667, 0.333, 0.000)
Au (0.000, 0.000, 0.500)
C (0.333, 0.667, 0.238)
C (0.333, 0.667, 0.762)

Properties
- size of the total moment (μB/atom) = 0.0941

VASP calculation (PBE) on a relaxed Sc2CoAuC crystal.

Cell lengths 4.617, 4.617, 3.623 Å; angles 90.00, 90.00, 90.00 degrees
Sites, in units of the cell vectors:
Sc (0.000, 0.500, 0.000)
Sc (0.500, 0.000, 0.000)
Co (0.000, 0.000, 0.500)
Au (0.500, 0.500, 0.500)
C (0.000, 0.000, 0.000)

Properties
- size of the total moment (μB/atom) = 0.0002

VASP calculation (PBE) on a relaxed CoW4AuC2 crystal.

Cell lengths 3.059, 3.059, 13.168 Å; angles 90.00, 90.00, 120.00 degrees
Sites, in units of the cell vectors:
Co (0.000, 0.000, 0.000)
W (0.000, 0.000, 0.323)
W (0.000, 0.000, 0.677)
W (0.667, 0.333, 0.146)
W (0.667, 0.333, 0.854)
Au (0.667, 0.333, 0.500)
C (0.333, 0.667, 0.237)
C (0.333, 0.667, 0.763)

Properties
- size of the total moment (μB/atom) = 0.0002

VASP calculation (PBE) on a relaxed Zr4CoAuC2 crystal.

Cell lengths 3.307, 3.307, 13.740 Å; angles 90.00, 90.00, 120.00 degrees
Sites, in units of the cell vectors:
Zr (0.000, 0.000, 0.141)
Zr (0.000, 0.000, 0.859)
Zr (0.667, 0.333, 0.333)
Zr (0.667, 0.333, 0.667)
Co (0.667, 0.333, 0.000)
Au (0.000, 0.000, 0.500)
C (0.333, 0.667, 0.240)
C (0.333, 0.667, 0.760)

Properties
- size of the total moment (μB/atom) = 0.0088

VASP calculation (PBE) on a relaxed CsAuC2S2N2 crystal.

Cell lengths 7.374, 7.374, 17.947 Å; angles 105.45, 105.45, 51.97 degrees
Sites, in units of the cell vectors:
Cs (0.172, 0.190, 0.064)
Cs (0.190, 0.172, 0.564)
Cs (0.810, 0.828, 0.436)
Cs (0.828, 0.810, 0.936)
Au (0.167, 0.833, 0.750)
Au (0.335, 0.665, 0.250)
Au (0.665, 0.335, 0.750)
Au (0.833, 0.167, 0.250)
C (0.171, 0.280, 0.348)
C (0.280, 0.171, 0.848)
C (0.422, 0.531, 0.588)
C (0.469, 0.578, 0.912)
C (0.531, 0.422, 0.088)
C (0.578, 0.469, 0.412)
C (0.720, 0.829, 0.152)
C (0.829, 0.720, 0.652)
S (0.003, 0.357, 0.264)
S (0.284, 0.663, 0.116)
S (0.337, 0.716, 0.384)
S (0.357, 0.003, 0.764)
S (0.643, 0.997, 0.236)
S (0.663, 0.284, 0.616)
S (0.716, 0.337, 0.884)
S (0.997, 0.643, 0.736)
N (0.241, 0.284, 0.910)
N (0.249, 0.702, 0.566)
N (0.284, 0.241, 0.410)
N (0.298, 0.751, 0.934)
N (0.702, 0.249, 0.066)
N (0.716, 0.759, 0.590)
N (0.751, 0.298, 0.434)
N (0.759, 0.716, 0.090)

VASP calculation (PBE) on a relaxed Hf4CuAuC2 crystal.

Cell lengths 3.267, 3.267, 13.877 Å; angles 90.00, 90.00, 120.00 degrees
Sites, in units of the cell vectors:
Hf (0.000, 0.000, 0.150)
Hf (0.000, 0.000, 0.850)
Hf (0.667, 0.333, 0.337)
Hf (0.667, 0.333, 0.663)
Cu (0.667, 0.333, 0.000)
Au (0.000, 0.000, 0.500)
C (0.333, 0.667, 0.245)
C (0.333, 0.667, 0.755)

Properties
- size of the total moment (μB/atom) = 0.0024

VASP calculation (PBE) on a relaxed Nb4CuAuC2 crystal.

Cell lengths 3.160, 3.160, 13.616 Å; angles 90.00, 90.00, 120.00 degrees
Sites, in units of the cell vectors:
Nb (0.000, 0.000, 0.153)
Nb (0.000, 0.000, 0.847)
Nb (0.333, 0.667, 0.331)
Nb (0.333, 0.667, 0.669)
Cu (0.333, 0.667, 0.000)
Au (0.000, 0.000, 0.500)
C (0.667, 0.333, 0.242)
C (0.667, 0.333, 0.758)

Properties
- size of the total moment (μB/atom) = 0.0000

VASP calculation (PBE) on a relaxed Sc4CuAuC2 crystal.

Cell lengths 3.399, 3.399, 13.179 Å; angles 90.00, 90.00, 120.00 degrees
Sites, in units of the cell vectors:
Sc (0.000, 0.000, 0.153)
Sc (0.000, 0.000, 0.847)
Sc (0.333, 0.667, 0.335)
Sc (0.333, 0.667, 0.665)
Cu (0.333, 0.667, 0.000)
Au (0.000, 0.000, 0.500)
C (0.667, 0.333, 0.245)
C (0.667, 0.333, 0.755)

Properties
- size of the total moment (μB/atom) = 0.0046

VASP calculation (PBE) on a relaxed Y4CuAuC2 crystal.

Cell lengths 3.672, 3.672, 13.909 Å; angles 90.00, 90.00, 120.00 degrees
Sites, in units of the cell vectors:
Y (0.000, 0.000, 0.150)
Y (0.000, 0.000, 0.850)
Y (0.667, 0.333, 0.342)
Y (0.667, 0.333, 0.658)
Cu (0.667, 0.333, 0.000)
Au (0.000, 0.000, 0.500)
C (0.333, 0.667, 0.247)
C (0.333, 0.667, 0.753)

Properties
- size of the total moment (μB/atom) = 0.0025

VASP calculation (PBE) on a relaxed Y4CuAuC2 crystal.

Cell lengths 3.672, 3.672, 13.910 Å; angles 90.00, 90.00, 120.00 degrees
Sites, in units of the cell vectors:
Y (0.000, 0.000, 0.150)
Y (0.000, 0.000, 0.850)
Y (0.333, 0.667, 0.342)
Y (0.333, 0.667, 0.658)
Cu (0.333, 0.667, 0.000)
Au (0.000, 0.000, 0.500)
C (0.667, 0.333, 0.246)
C (0.667, 0.333, 0.754)

Properties
- size of the total moment (μB/atom) = 0.0025

| no. | VASP energy (eV per atom) |
| --- | --- |
| 1 | -7.018 |
| 2 | -8.928 |
| 3 | -8.920 |
| 4 | -7.051 |
| 5 | -9.894 |
| 6 | -8.366 |
| 7 | -6.033 |
| 8 | -8.730 |
| 9 | -8.510 |
| 10 | -6.796 |
| 11 | -6.760 |
| 12 | -6.760 |